Arrangement one

A relaxed structure of ZrFe2Tc2, computed with PBE. Values from VASP.

Cell and atoms, written as Quantum ESPRESSO input:
```
&SYSTEM
  ibrav = 0, nat = 10, ntyp = 3
/
ATOMIC_SPECIES
Zr 91.22 Zr.upf
Fe 55.84 Fe.upf
Tc 98.00 Tc.upf
ATOMIC_POSITIONS crystal
Zr 0.000 0.000 0.000
Zr 0.500 0.500 0.000
Fe 0.122 0.378 0.000
Fe 0.378 0.878 0.000
Fe 0.622 0.122 0.000
Fe 0.878 0.622 0.000
Tc 0.170 0.670 0.500
Tc 0.330 0.170 0.500
Tc 0.670 0.830 0.500
Tc 0.830 0.330 0.500
CELL_PARAMETERS angstrom
7.263 0.000 0.000
0.000 7.263 0.000
0.000 0.000 2.707
```

Summary:
- Magnetic moment: 0.00 μB per atom

---

Arrangement two

A relaxed structure of ZrFe2Tc2, computed with PBE. Values from VASP.

Cell and atoms, written as Quantum ESPRESSO input:
```
&SYSTEM
  ibrav = 0, nat = 5, ntyp = 3
/
ATOMIC_SPECIES
Zr 91.22 Zr.upf
Fe 55.84 Fe.upf
Tc 98.00 Tc.upf
ATOMIC_POSITIONS crystal
Zr 0.000 0.000 0.000
Fe 0.396 0.396 0.000
Fe 0.604 0.604 0.000
Tc 0.250 0.750 0.500
Tc 0.750 0.250 0.500
CELL_PARAMETERS angstrom
-1.942 1.942 5.023
1.942 -1.942 5.023
1.942 1.942 -5.023
```

Summary:
- Magnetic moment: 0.00 μB per atom

---

Best to worst by energy: arrangement two, arrangement one.

---

Arrangement one

A relaxed structure of SrCuIr2, computed with PBE. Values from VASP.

Cell and atoms, written as Quantum ESPRESSO input:
```
&SYSTEM
  ibrav = 0, nat = 4, ntyp = 3
/
ATOMIC_SPECIES
Sr 87.62 Sr.upf
Cu 63.55 Cu.upf
Ir 192.22 Ir.upf
ATOMIC_POSITIONS crystal
Sr 0.000 0.000 0.000
Cu 0.500 0.500 0.500
Ir 0.250 0.250 0.250
Ir 0.750 0.750 0.750
CELL_PARAMETERS angstrom
0.000 3.286 3.286
3.286 0.000 3.286
3.286 3.286 0.000
```

Summary:
- Magnetic moment: 0.00 μB per atom

---

Arrangement two

A relaxed structure of SrCuIr2, computed with PBE. Values from VASP.

Cell and atoms, written as Quantum ESPRESSO input:
```
&SYSTEM
  ibrav = 0, nat = 4, ntyp = 3
/
ATOMIC_SPECIES
Sr 87.62 Sr.upf
Cu 63.55 Cu.upf
Ir 192.22 Ir.upf
ATOMIC_POSITIONS crystal
Sr 0.000 0.000 0.000
Cu 0.226 0.226 0.686
Ir 0.496 0.496 0.478
Ir 0.757 0.757 0.359
CELL_PARAMETERS angstrom
4.444 -1.497 0.000
4.444 1.497 0.000
-1.084 0.000 5.878
```

Summary:
- Magnetic moment: 0.00 μB per atom

---

Best to worst by energy: arrangement two, arrangement one.

---

Arrangement one

A relaxed structure of BeAg2As, computed with PBE. Values from VASP.

Cell and atoms, written as Quantum ESPRESSO input:
```
&SYSTEM
  ibrav = 0, nat = 4, ntyp = 3
/
ATOMIC_SPECIES
Be 9.01 Be.upf
Ag 107.87 Ag.upf
As 74.92 As.upf
ATOMIC_POSITIONS crystal
Be 0.000 0.000 0.000
Ag 0.000 0.000 0.507
Ag 0.500 0.500 0.225
As 0.500 0.500 0.821
CELL_PARAMETERS angstrom
2.894 0.000 0.000
0.000 3.284 0.000
0.000 0.000 6.838
```

Summary:
- Magnetic moment: 0.00 μB per atom

---

Arrangement two

A relaxed structure of BeAg2As, computed with PBE. Values from VASP.

Cell and atoms, written as Quantum ESPRESSO input:
```
&SYSTEM
  ibrav = 0, nat = 4, ntyp = 3
/
ATOMIC_SPECIES
Be 9.01 Be.upf
Ag 107.87 Ag.upf
As 74.92 As.upf
ATOMIC_POSITIONS crystal
Be 0.000 0.000 0.000
Ag 0.272 0.272 0.779
Ag 0.728 0.728 0.221
As 0.500 0.500 0.500
CELL_PARAMETERS angstrom
4.384 -1.472 0.000
4.384 1.472 0.000
-1.264 0.000 5.062
```

Summary:
- Magnetic moment: 0.00 μB per atom

---

Best to worst by energy: arrangement one, arrangement two.

---

Arrangement one

A relaxed structure of RuC, computed with PBE. Values from VASP.

Cell and atoms, written as Quantum ESPRESSO input:
```
&SYSTEM
  ibrav = 0, nat = 6, ntyp = 2
/
ATOMIC_SPECIES
Ru 101.07 Ru.upf
C 12.01 C.upf
ATOMIC_POSITIONS crystal
Ru 0.000 0.000 0.000
Ru 0.333 0.667 0.500
Ru 0.667 0.333 0.500
C 0.000 0.500 0.000
C 0.500 0.000 0.000
C 0.500 0.500 0.000
CELL_PARAMETERS angstrom
4.892 0.000 0.000
-2.446 4.237 0.000
0.000 0.000 3.051
```

Summary:
- Magnetic moment: 0.00 μB per atom

---

Arrangement two

A relaxed structure of RuC, computed with PBE. Values from VASP.

Cell and atoms, written as Quantum ESPRESSO input:
```
&SYSTEM
  ibrav = 0, nat = 4, ntyp = 2
/
ATOMIC_SPECIES
Ru 101.07 Ru.upf
C 12.01 C.upf
ATOMIC_POSITIONS crystal
Ru 0.250 0.000 0.242
Ru 0.750 0.000 0.758
C 0.250 0.500 0.794
C 0.750 0.500 0.206
CELL_PARAMETERS angstrom
3.477 0.000 0.000
0.000 2.690 0.000
0.000 0.000 4.182
```

Summary:
- Magnetic moment: 0.00 μB per atom

---

Best to worst by energy: arrangement two, arrangement one.